(1)
Material: Ba2ZrCu
Method: DFT, PBEsol
State: relaxed

## Properties
* polymorph energy (0 for the lowest one): 0 meV per atom
* ΔH_f (0 K): 0.39 eV/atom

abc: 3.647 5.662 6.924
angles: 114.14 105.27 90.00
Atoms (fractional coordinates):
Ba  0.216  0.716  0.431
Cu  0.462  0.462  0.925
Ba  0.012  0.012  0.023
Zr  0.810  0.310  0.621


(2)
Material: FeGe2
Method: DFT, PBEsol
State: relaxed

## Properties
* ΔH_f (0 K): -0.07 eV/atom

abc: 5.593 6.086 5.587
angles: 90.00 90.00 117.35
Each line ends with the local moment (μB).
Atoms (fractional coordinates):
Fe  0.385  0.770  0.000  0.33
Ge  0.658  0.000  0.658  0.00
Fe  0.115  0.230  0.500  0.33
Ge  0.497  0.500  0.250  0.00
Ge  0.842  0.000  0.158  0.00
Ge  0.158  0.000  0.842  0.00
Ge  0.003  0.500  0.750  0.00
Fe  0.885  0.770  0.500  0.33
Fe  0.615  0.230  0.000  0.33
Ge  0.997  0.500  0.250  0.00
Ge  0.503  0.500  0.750  0.00
Ge  0.342  0.000  0.342  0.00


(3)
Material: YHSeN2
Method: DFT, PBEsol
State: relaxed

## Properties
* E_tot: -5.737 eV/atom

abc: 3.305 4.074 4.074
angles: 90.00 90.00 90.00
Atoms (fractional coordinates):
N  0.000  0.000  0.500
H  0.000  0.000  0.000
Y  0.500  0.500  0.500
N  0.000  0.500  0.000
Se  0.500  0.000  0.000


(4)
Material: LiSi
Method: DFT, PBEsol
State: relaxed

## Properties
* E_tot: -4.079 eV/atom

abc: 5.681 7.152 7.152
angles: 80.92 66.60 66.60
Atoms (fractional coordinates):
Li  0.545  0.056  0.217
Li  0.513  0.283  0.556
Li  0.399  0.783  0.056
Si  0.669  0.312  0.908
Si  0.732  0.408  0.188
Li  0.205  0.444  0.283
Si  0.327  0.592  0.812
Si  0.018  0.092  0.312
Li  0.818  0.944  0.783
Si  0.423  0.908  0.688
Si  0.081  0.188  0.592
Li  0.237  0.217  0.944
Li  0.932  0.556  0.717
Si  0.860  0.812  0.408
Si  0.890  0.688  0.092
Li  0.351  0.717  0.444


(5)
Material: SrRuCl2
Method: DFT, PBEsol
State: relaxed

## Properties
* polymorph energy (0 for the lowest one): 0 meV per atom

abc: 4.293 4.468 4.628
angles: 90.00 100.71 90.00
Atoms (fractional coordinates):
Cl  0.639  0.500  0.342
Sr  0.248  0.500  0.762
Cl  0.873  0.000  0.960
Ru  0.740  0.000  0.437


(6)
Material: LiMgVO4
Method: DFT, PBEsol
State: relaxed

## Properties
* E_tot: -7.429 eV/atom

abc: 5.121 5.121 6.222
angles: 90.00 90.00 113.58
Atoms (fractional coordinates):
V  0.855  0.145  0.250
O  0.774  0.735  0.750
V  0.145  0.855  0.750
O  0.741  0.259  0.471
Mg  0.500  0.500  0.500
Li  0.838  0.162  0.750
O  0.226  0.265  0.250
O  0.265  0.226  0.750
O  0.735  0.774  0.250
O  0.741  0.259  0.029
O  0.259  0.741  0.971
Mg  0.500  0.500  0.000
O  0.259  0.741  0.529
Li  0.162  0.838  0.250


(7)
Material: Ba3YIrRuO9
Method: DFT, PBEsol
State: relaxed

## Properties
* E_tot: -7.592 eV/atom

abc: 5.857 5.857 14.470
angles: 90.00 90.00 120.00
Each line ends with the local moment (μB).
Atoms (fractional coordinates):
O  0.509  0.491  0.749  0.05
O  0.646  0.823  0.088  0.08
Y  0.000  0.000  0.000  0.00
Ba  0.000  0.000  0.250  0.01
O  0.823  0.177  0.588  0.08
O  0.019  0.509  0.249  0.05
O  0.824  0.176  0.914  -0.01
O  0.176  0.824  0.414  -0.01
O  0.177  0.823  0.088  0.08
Y  0.000  0.000  0.500  0.00
O  0.823  0.646  0.588  0.08
Ir  0.333  0.667  0.335  -0.08
O  0.824  0.648  0.914  -0.01
O  0.491  0.981  0.249  0.05
O  0.177  0.354  0.088  0.08
Ba  0.667  0.333  0.092  0.01
O  0.491  0.509  0.249  0.05
O  0.648  0.824  0.414  -0.01
Ir  0.667  0.333  0.835  -0.08
O  0.981  0.491  0.749  0.05
Ru  0.333  0.667  0.163  0.94
O  0.509  0.019  0.749  0.05
Ba  0.000  0.000  0.750  0.01
O  0.352  0.176  0.914  -0.01
Ba  0.333  0.667  0.592  0.01
Ba  0.667  0.333  0.406  0.00
O  0.176  0.352  0.414  -0.01
O  0.354  0.177  0.588  0.08
Ru  0.667  0.333  0.663  0.94
Ba  0.333  0.667  0.906  0.00


(8)
Material: ReOs
Method: DFT, PBEsol
State: relaxed

## Properties
* polymorph energy (0 for the lowest one): 49 meV per atom
* ΔH_f (0 K): -0.05 eV/atom

abc: 2.744 2.744 8.726
angles: 90.00 90.00 120.00
Atoms (fractional coordinates):
Os  0.333  0.667  0.876
Re  0.333  0.667  0.372
Re  0.667  0.333  0.628
Os  0.667  0.333  0.124


no.,volume (Å³/atom),magnetization (μB per formula unit),ρ (g cm⁻³)
1,31.2,0.0,5.7
2,14.1,0.3,7.9
3,11.0,0.0,6.0
4,15.3,0.0,1.9
5,21.8,0.0,4.9
6,10.7,0.0,3.2
7,14.3,1.4,7.2
8,14.2,0.0,22.0